## In5SnHg (PBE)

Data for a relaxed In5SnHg crystal.

extended XYZ file:
```
7
Lattice="4.596 0.000 0.000 0.000 4.596 0.000 0.000 0.000 9.347" Properties=species:S:1:pos:R:3 pbc="T T T"
In 0.000 0.000 0.000
In 0.000 2.298 2.552
In 0.000 2.298 6.794
In 2.298 0.000 2.552
In 2.298 0.000 6.794
Sn 2.298 2.298 0.000
Hg 2.298 2.298 4.673
```

Summary:
ΔH_f (0 K) (eV per atom): 0.04
Volume (Å³/f.u.): 197
D(E_F) (states/eV/cell): 3.2
Space group: P4/mmm (123)

***

## LaAl5Pd3 (PBE)

Data for a relaxed LaAl5Pd3 crystal.

extended XYZ file:
```
18
Lattice="2.067 -6.465 0.000 2.067 6.465 0.000 0.000 0.000 12.657" Properties=species:S:1:pos:R:3 pbc="T T T"
La 2.067 4.308 9.493
La 2.067 -4.308 3.164
Al 0.000 0.000 0.000
Al 0.000 0.000 6.328
Al 2.067 3.877 0.788
Al 2.067 3.877 5.541
Al 2.067 0.742 8.215
Al 2.067 0.742 10.770
Al 2.067 -0.742 1.887
Al 2.067 -0.742 4.442
Al 2.067 -3.877 7.116
Al 2.067 -3.877 11.869
Pd 2.067 4.855 3.164
Pd 2.067 1.423 0.538
Pd 2.067 1.423 5.790
Pd 2.067 -1.423 6.867
Pd 2.067 -1.423 12.119
Pd 2.067 -4.855 9.493
```

Summary:
ΔH_f (0 K) (eV per atom): -0.74
Volume (Å³/f.u.): 169
D(E_F) (states/eV/cell): 7.1
Space group: Cmcm (63)

***

## NbGa2Ir3 (PBE)

Data for a relaxed NbGa2Ir3 crystal.

extended XYZ file:
```
6
Lattice="2.949 0.000 0.000 0.000 2.949 0.000 0.000 0.000 10.268" Properties=species:S:1:pos:R:3 pbc="T T T"
Nb 0.000 0.000 0.000
Ga 0.000 0.000 3.514
Ga 0.000 0.000 6.754
Ir 1.475 1.475 1.913
Ir 1.475 1.475 5.134
Ir 1.475 1.475 8.355
```

Summary:
ΔH_f (0 K) (eV per atom): -0.50
Volume (Å³/f.u.): 89
D(E_F) (states/eV/cell): 3.4
Space group: P4/mmm (123)

***

## Ca2TaAg (PBE)

Data for a relaxed Ca2TaAg crystal.

extended XYZ file:
```
4
Lattice="-2.307 2.307 4.682 2.307 -2.307 4.682 2.307 2.307 -4.682" Properties=species:S:1:pos:R:3 pbc="T T T"
Ca 2.307 0.000 2.341
Ca 0.000 2.307 2.341
Ta 0.000 0.000 0.000
Ag 0.000 0.000 4.682
```

Summary:
Energy relative to the lowest polymorph listed for this composition (eV per atom): 0.318
ΔH_f (0 K) (eV per atom): 0.66
Volume (Å³/f.u.): 100
D(E_F) (states/eV/cell): 3.8
Space group: I4/mmm (139)

***

## EuZnCo4 (PBE)

Data for a relaxed EuZnCo4 crystal.

extended XYZ file:
```
6
Lattice="0.000 3.516 3.516 3.516 0.000 3.516 3.516 3.516 0.000" Properties=species:S:1:pos:R:3 pbc="T T T"
Eu 0.000 0.000 0.000
Zn 5.274 5.274 5.274
Co 2.645 2.645 2.645
Co 4.387 4.387 2.645
Co 4.387 2.645 4.387
Co 2.645 4.387 4.387
```

Summary:
ΔH_f (0 K) (eV per atom): 0.12
Volume (Å³/f.u.): 87
D(E_F) (states/eV/cell): 20.9
Space group: F-43m (216)

***

## Ca2LaCd2 (PBE)

Data for a relaxed Ca2LaCd2 crystal.

extended XYZ file:
```
10
Lattice="9.302 0.000 0.000 0.000 9.302 0.000 0.000 0.000 3.477" Properties=species:S:1:pos:R:3 pbc="T T T"
Ca 1.225 3.426 0.000
Ca 3.426 8.077 0.000
Ca 5.876 1.225 0.000
Ca 8.077 5.876 0.000
La 0.000 0.000 0.000
La 4.651 4.651 0.000
Cd 1.547 6.198 1.739
Cd 3.104 1.547 1.739
Cd 6.198 7.755 1.739
Cd 7.755 3.104 1.739
```

Summary:
Energy relative to the lowest polymorph listed for this composition (eV per atom): 0.056
ΔH_f (0 K) (eV per atom): -0.20
Volume (Å³/f.u.): 150
D(E_F) (states/eV/cell): 4.7
Space group: P4/mbm (127)

***

## Nb3RhN (PBE)

Data for a relaxed Nb3RhN crystal.

extended XYZ file:
```
5
Lattice="4.236 0.000 0.000 0.000 4.236 0.000 0.000 0.000 4.236" Properties=species:S:1:pos:R:3 pbc="T T T"
Nb 0.000 0.000 2.118
Nb 0.000 2.118 0.000
Nb 2.118 0.000 0.000
Rh 2.118 2.118 2.118
N 0.000 0.000 0.000
```

Summary:
Volume (Å³/f.u.): 76
DFT total energy (eV/atom): -9.741
D(E_F) (states/eV/cell): 3.0
Space group: Pm-3m (221)

***

## Tl13Sn2 (PBE)

Data for a relaxed Tl13Sn2 crystal.

extended XYZ file:
```
15
Lattice="4.398 2.539 8.026 -4.398 2.539 8.026 0.000 -5.078 8.026" Properties=species:S:1:pos:R:3 pbc="T T T"
Tl 0.000 0.000 0.000
Tl 0.000 -2.025 5.726
Tl -1.754 1.013 5.726
Tl 0.000 -1.914 9.097
Tl -1.658 0.957 9.097
Tl -1.658 -0.957 14.982
Tl -1.754 -1.013 18.353
Tl 1.754 1.013 5.726
Tl 1.658 0.957 9.097
Tl 1.658 -0.957 14.982
Tl 0.000 1.914 14.982
Tl 1.754 -1.013 18.353
Tl 0.000 2.025 18.353
Sn 0.000 0.000 3.248
Sn 0.000 0.000 20.831
```

Summary:
Energy relative to the lowest polymorph listed for this composition (eV per atom): 0.096
ΔH_f (0 K) (eV per atom): 0.12
Volume (Å³/f.u.): 538
D(E_F) (states/eV/cell): 7.9
Space group: R-3m (166)